! FePW2 | Alexandria via LeMat-Bulk | PBE-GGA | optimized geometry; values from VASP
! * E_form: -0.04 eV/atom
&SYSTEM
  ibrav = 0, nat = 8, ntyp = 3
/
ATOMIC_SPECIES
Fe 55.84 Fe.upf
P 30.97 P.upf
W 183.84 W.upf
CELL_PARAMETERS angstrom
2.8691 0.0000 0.0000
0.0000 4.2936 0.0000
0.0000 0.0000 8.6903
ATOMIC_POSITIONS angstrom
Fe 0.0000 0.0000 0.0000
Fe 1.4346 2.1468 4.3451
P 0.0000 2.1468 6.0823
P 1.4346 0.0000 1.7372
W 0.0000 0.0000 3.7901
W 0.0000 2.1468 2.0091
W 1.4346 0.0000 6.3543
W 1.4346 2.1468 8.1352